Record 1
Cd2MoSe | GGA-PBE | optimized geometry

Cell lengths 8.083, 8.083, 5.520 Å; angles 90.00, 90.00, 90.00 degrees
Fractional coordinates of all 16 atoms:
Cd  0.233  0.250  0.125
Cd  0.250  0.733  0.375
Cd  0.250  0.767  0.875
Cd  0.267  0.250  0.625
Cd  0.733  0.750  0.625
Cd  0.750  0.233  0.875
Cd  0.750  0.267  0.375
Cd  0.767  0.750  0.125
Mo  0.000  0.000  0.500
Mo  0.000  0.500  0.750
Mo  0.500  0.000  0.250
Mo  0.500  0.500  0.000
Se  0.000  0.000  0.000
Se  0.000  0.500  0.250
Se  0.500  0.000  0.750
Se  0.500  0.500  0.500

Results
As for the space group: I-42d, No. 122. The energy above the lowest structure with this stoichiometry comes out at 0.593 eV/atom. The total energy comes out at -3.49 eV/atom. The uncorrected formation energy comes out at 545 meV/atom. The calculation puts the density of states at the Fermi level at 0.68 states/eV per atom.

---

Record 2
Cd4MoSe | GGA-PBE | optimized geometry

Cell lengths 5.672, 5.672, 5.672 Å; angles 60.00, 60.00, 60.00 degrees
Fractional coordinates of all 6 atoms:
Cd  0.125  0.125  0.125
Cd  0.125  0.125  0.626
Cd  0.125  0.626  0.125
Cd  0.626  0.125  0.125
Mo  0.750  0.750  0.750
Se  0.500  0.500  0.500

Results
As for the space group: F-43m, No. 216. The total energy comes out at -2.38 eV/atom. The uncorrected formation energy comes out at 616 meV/atom. The calculation puts the density of states at the Fermi level at 0.74 states/eV per atom.

---

Record 3
Cd2MoSe | GGA-PBE | optimized geometry

Cell lengths 2.864, 2.864, 9.989 Å; angles 90.00, 90.00, 90.00 degrees
Fractional coordinates of all 4 atoms:
Cd  0.000  0.000  0.220
Cd  0.000  0.000  0.780
Mo  0.500  0.500  0.000
Se  0.500  0.500  0.500

Results
As for the space group: P4/mmm, No. 123. The energy above the lowest structure with this stoichiometry comes out at 0.432 eV/atom. The total energy comes out at -3.65 eV/atom. The uncorrected formation energy comes out at 385 meV/atom. The calculation puts the density of states at the Fermi level at 0.70 states/eV per atom.

---

Record 4
Cd2MoSe | GGA-PBE | optimized geometry

Cell lengths 6.818, 6.818, 6.818 Å; angles 90.00, 90.00, 90.00 degrees
Fractional coordinates of all 16 atoms:
Cd  0.000  0.000  0.000
Cd  0.000  0.500  0.500
Cd  0.250  0.250  0.250
Cd  0.250  0.750  0.750
Cd  0.500  0.000  0.500
Cd  0.500  0.500  0.000
Cd  0.750  0.250  0.750
Cd  0.750  0.750  0.250
Mo  0.000  0.000  0.500
Mo  0.000  0.500  0.000
Mo  0.500  0.000  0.000
Mo  0.500  0.500  0.500
Se  0.250  0.250  0.750
Se  0.250  0.750  0.250
Se  0.750  0.250  0.250
Se  0.750  0.750  0.750

Results
As for the space group: F-43m, No. 216. The energy above the lowest structure with this stoichiometry comes out at 0.626 eV/atom. The total energy comes out at -3.46 eV/atom. The uncorrected formation energy comes out at 578 meV/atom. The calculation puts the density of states at the Fermi level at 0.85 states/eV per atom.